Entry 1:
Compound: Tb3Ho7Er
Source: Alexandria via LeMat-Bulk
Functional: PBE-GGA
Structure: optimized geometry

The calculation puts the distance to the lowest polymorph of the same formula at 0.128 eV per atom. Its energy of formation from the pure elements is 3.1 eV per formula unit. For the total DFT energy (no corrections), the calculation gives -0.3169 Ry per atom. As for the calculated density: 8446 kg/m³.

It has space group C2/m (No. 12), with a = 12.472 Å, b = 11.094 Å, c = 5.759 Å, α = 90.00°, β = 117.45° and γ = 90.00°. Symmetry generates all atoms from Tb at (0.000, 0.000, 0.000), Tb at (0.000, 0.209, 0.500), Ho at (0.000, 0.500, 0.500), Ho at (0.201, 0.200, 0.201), Ho at (0.207, 0.000, 0.706) and Er at (0.000, 0.500, 0.000).



Entry 2:
Compound: GeTe2Os
Source: Alexandria via LeMat-Bulk
Functional: PBE-GGA
Structure: optimized geometry

As for the formation energy without anion corrections: 829 meV/atom. For the total DFT energy (no corrections), the calculation gives -0.3457 Ry per atom. As for the calculated density: 8891 kg/m³.

It has space group R-3m (No. 166, hexagonal axes), with a = 3.0473 Å, b = 3.0473 Å, c = 36.0936 Å, α = 90.00°, β = 90.00° and γ = 120.00°. Symmetry generates all atoms from Ge at (0.0000, 0.0000, 0.0000), Te at (0.0000, 0.0000, 0.4286) and Os at (0.0000, 0.0000, 0.5000).



Entry 3:
Compound: CaInBr4Cl
Source: Alexandria via LeMat-Bulk
Functional: PBE-GGA
Structure: optimized geometry

As for the formation energy without anion corrections: -1342 meV/atom. For the total DFT energy (no corrections), the calculation gives -0.2381 Ry per atom. As for the calculated density: 2772 kg/m³.

It has space group C2/m (No. 12), with a = 10.682 Å, b = 10.793 Å, c = 11.103 Å, α = 90.00°, β = 107.32° and γ = 90.00°. Symmetry generates all atoms from Ca at (0.189, 0.000, 0.023), In at (0.151, 0.500, 0.262), Br at (0.088, 0.500, 0.738), Br at (0.188, 0.324, 0.115), Br at (0.194, 0.000, 0.523) and Cl at (0.031, 0.000, 0.166).



Entry 4:
Compound: CrCdAg2
Source: Alexandria via LeMat-Bulk
Functional: PBE-GGA
Structure: optimized geometry

Its energy of formation from the pure elements is 1.2 eV per formula unit. For the total DFT energy (no corrections), the calculation gives -0.2762 Ry per atom. As for the calculated density: 8596 kg/m³.

It has space group R-3m (No. 166, hexagonal axes), with a = 2.9849 Å, b = 2.9849 Å, c = 28.5537 Å, α = 90.00°, β = 90.00° and γ = 120.00°. Symmetry generates all atoms from Cr at (0.0000, 0.0000, 0.0000), Cd at (0.0000, 0.0000, 0.5000) and Ag at (0.0000, 0.0000, 0.2543).